Computed, not measured: a geometry-optimized Zn3InBr9 structure at the GGA-PBE level of DFT.

Results
As for the uncorrected energy: -127.49 eV/cell. The uncorrected formation energy is -789 meV/atom. As for the total moment: 0.0000 μB per atom.

```
data_Zn3InBr9
_chemical_formula_sum 'Zn12 In4 Br36'
_space_group_name_H-M_alt 'C 1 c 1'
_space_group_IT_number 9
_space_group_name_Hall 'C -2yc'
_cell_length_a 18.350
_cell_length_b 9.338
_cell_length_c 13.229
_cell_angle_alpha 90.00
_cell_angle_beta 128.59
_cell_angle_gamma 90.00
loop_
_atom_site_label
_atom_site_type_symbol
_atom_site_fract_x
_atom_site_fract_y
_atom_site_fract_z
Zn1 Zn 0.000 0.063 0.000
Zn2 Zn 0.131 0.428 0.947
Zn3 Zn 0.401 0.117 0.602
In1 In 0.268 0.228 0.779
Br1 Br 0.016 0.238 0.874
Br2 Br 0.065 0.370 0.298
Br3 Br 0.128 0.033 0.712
Br4 Br 0.166 0.463 0.645
Br5 Br 0.264 0.314 0.978
Br6 Br 0.268 0.081 0.599
Br7 Br 0.376 0.351 0.503
Br8 Br 0.407 0.056 0.969
Br9 Br 0.419 0.376 0.833
```


Computed, not measured: a geometry-optimized BaMn4Cd structure at the GGA-PBE level of DFT.

Results
As for the energy of formation from the pure elements: 0.590 eV per atom. As for the uncorrected energy: -143.91 eV/cell. As for the total moment: 2.3749 μB per atom.

```
data_BaMn4Cd
_chemical_formula_sum 'Ba4 Mn16 Cd4'
_space_group_name_H-M_alt 'F -4 3 m'
_space_group_IT_number 216
_space_group_name_Hall 'F -4 2 3'
_cell_length_a 7.859
_cell_length_b 7.859
_cell_length_c 7.859
_cell_angle_alpha 90.00
_cell_angle_beta 90.00
_cell_angle_gamma 90.00
loop_
_atom_site_label
_atom_site_type_symbol
_atom_site_fract_x
_atom_site_fract_y
_atom_site_fract_z
Ba1 Ba 0.000 0.000 0.000
Mn1 Mn 0.122 0.122 0.378
Cd1 Cd 0.250 0.250 0.750
```


Computed, not measured: a geometry-optimized ZrZn2 structure at the GGA-PBE level of DFT.

Results
As for the energy of formation from the pure elements: -0.213 eV per atom. As for the uncorrected energy: -93.88 eV/cell. As for the total moment: 0.0951 μB per atom.

```
data_ZrZn2
_chemical_formula_sum 'Zr8 Zn16'
_space_group_name_H-M_alt 'I 41/a m d'
_space_group_IT_number 141
_cell_length_a 4.075
_cell_length_b 4.075
_cell_length_c 25.442
_cell_angle_alpha 90.00
_cell_angle_beta 90.00
_cell_angle_gamma 90.00
loop_
_space_group_symop_operation_xyz
'x,y,z'
'-x,-y,-z'
'-y+1/4,x+3/4,z+1/4'
'y+1/4,-x+3/4,-z+1/4'
'-x+1/2,-y,z+1/2'
'x+1/2,y,-z+1/2'
'y+1/4,-x+1/4,z+3/4'
'-y+1/4,x+1/4,-z+3/4'
'x,-y,-z'
'-x,y,z'
'-y+1/4,-x+1/4,-z+3/4'
'y+1/4,x+1/4,z+3/4'
'-x+1/2,y,-z+1/2'
'x+1/2,-y,z+1/2'
'y+1/4,x+3/4,-z+1/4'
'-y+1/4,-x+3/4,z+1/4'
'x+1/2,y+1/2,z+1/2'
'-x+1/2,-y+1/2,-z+1/2'
'-y+3/4,x+1/4,z+3/4'
'y+3/4,-x+1/4,-z+3/4'
'-x,-y+1/2,z'
'x,y+1/2,-z'
'y+3/4,-x+3/4,z+1/4'
'-y+3/4,x+3/4,-z+1/4'
'x+1/2,-y+1/2,-z+1/2'
'-x+1/2,y+1/2,z+1/2'
'-y+3/4,-x+3/4,-z+1/4'
'y+3/4,x+3/4,z+1/4'
'-x,y+1/2,-z'
'x,-y+1/2,z'
'y+3/4,x+1/4,-z+3/4'
'-y+3/4,-x+1/4,z+3/4'
loop_
_atom_site_label
_atom_site_type_symbol
_atom_site_fract_x
_atom_site_fract_y
_atom_site_fract_z
Zr1 Zr 0.000 0.250 0.294
Zn1 Zn 0.000 0.250 0.125
Zn2 Zn 0.000 0.250 0.793
```


Computed, not measured: a geometry-optimized Na2Cr2In structure at the GGA-PBE level of DFT.

Results
As for the energy of formation from the pure elements: 0.878 eV per atom. As for the uncorrected energy: -40.47 eV/cell. As for the total moment: 0.2430 μB per atom.

```
data_Na2Cr2In
_chemical_formula_sum 'Na4 Cr4 In2'
_space_group_name_H-M_alt 'P 4/m b m'
_space_group_IT_number 127
_space_group_name_Hall '-P 4 2ab'
_cell_length_a 8.912
_cell_length_b 8.912
_cell_length_c 2.893
_cell_angle_alpha 90.00
_cell_angle_beta 90.00
_cell_angle_gamma 90.00
loop_
_atom_site_label
_atom_site_type_symbol
_atom_site_fract_x
_atom_site_fract_y
_atom_site_fract_z
Na1 Na 0.209 0.291 0.000
Cr1 Cr 0.071 0.571 0.500
In1 In 0.000 0.000 0.000
```


- What is the uncorrected energy in the third record?
  -93.88 eV/cell


Copy entry 4 word for word.
Computed, not measured: a geometry-optimized Na2Cr2In structure at the GGA-PBE level of DFT.

Results
As for the energy of formation from the pure elements: 0.878 eV per atom. As for the uncorrected energy: -40.47 eV/cell. As for the total moment: 0.2430 μB per atom.

```
data_Na2Cr2In
_chemical_formula_sum 'Na4 Cr4 In2'
_space_group_name_H-M_alt 'P 4/m b m'
_space_group_IT_number 127
_space_group_name_Hall '-P 4 2ab'
_cell_length_a 8.912
_cell_length_b 8.912
_cell_length_c 2.893
_cell_angle_alpha 90.00
_cell_angle_beta 90.00
_cell_angle_gamma 90.00
loop_
_atom_site_label
_atom_site_type_symbol
_atom_site_fract_x
_atom_site_fract_y
_atom_site_fract_z
Na1 Na 0.209 0.291 0.000
Cr1 Cr 0.071 0.571 0.500
In1 In 0.000 0.000 0.000
```


- What is the formula in the second record?
  BaMn4Cd


- Look up the total moment of the fourth one.
  0.2430 μB per atom